Entry 1:
# LiTm2SnO5 GGA-PBE relaxed
# Fermi-level density of states (states/eV/f.u.): 2.160
# Total energy (eV per atom): -6.716
# Energy relative to the elements, uncorrected (eV per atom): -2.31
# Spin magnetization (μB per cell): 1.631
# Theoretical density (Mg/m³): 7.16
data_LiTm2SnO5
_chemical_formula_sum 'Li2 Tm4 Sn2 O10'
_space_group_name_H-M_alt 'P 4/m b m'
_space_group_IT_number 127
_space_group_name_Hall '-P 4 2ab'
_cell_length_a 6.436
_cell_length_b 6.436
_cell_length_c 6.087
_cell_angle_alpha 90.00
_cell_angle_beta 90.00
_cell_angle_gamma 90.00
loop_
_atom_site_label
_atom_site_type_symbol
_atom_site_fract_x
_atom_site_fract_y
_atom_site_fract_z
Li1 Li 0.000 0.000 0.000
Tm1 Tm 0.177 0.323 0.500
Sn1 Sn 0.000 0.500 0.000
O1 O 0.000 0.000 0.500
O2 O 0.145 0.645 0.264



Entry 2:
# Li2USnO6 GGA-PBE relaxed
# Total energy (eV per atom): -7.113
# Energy relative to the elements, uncorrected (eV per atom): -2.23
# Spin magnetization (μB per cell): 0.001
# Theoretical density (Mg/m³): 5.38
data_Li2USnO6
_chemical_formula_sum 'Li2 U1 Sn1 O6'
_space_group_name_H-M_alt 'P 4 m m'
_space_group_IT_number 99
_cell_length_a 5.914
_cell_length_b 5.914
_cell_length_c 4.117
_cell_angle_alpha 90.00
_cell_angle_beta 90.00
_cell_angle_gamma 90.00
loop_
_space_group_symop_operation_xyz
'x,y,z'
'-y,x,z'
'-x,-y,z'
'y,-x,z'
'-x,y,z'
'y,x,z'
'x,-y,z'
'-y,-x,z'
loop_
_atom_site_label
_atom_site_type_symbol
_atom_site_fract_x
_atom_site_fract_y
_atom_site_fract_z
Li1 Li 0.000 0.500 0.000
U1 U 0.000 0.000 0.824
Sn1 Sn 0.500 0.500 0.818
O1 O 0.000 0.000 0.330
O2 O 0.247 0.247 0.856
O3 O 0.500 0.500 0.327